1.
The following is a PBE calculation of an optimized crystal structure of Zn4CuAg2Au, from Alexandria.

a b c (Å): 7.6314 7.6314 9.2101
angles (deg): 127.12 127.12 90.78
Closest atoms and distances in Å follow each position.
Atoms (fractional coordinates):
Au 0.0000 0.0000 0.0000  6 Zn 2.68-2.70, 2 Au 2.74
Au 0.5000 0.5000 0.5000  6 Zn 2.68-2.70, 2 Au 2.74
Zn 0.7644 0.7355 0.5008  1 Cu 2.56, 2 Au 2.68, 2 Ag 2.69, 2 Zn 2.76
Zn 0.2356 0.2645 0.4992  1 Cu 2.56, 2 Au 2.68, 2 Ag 2.69, 2 Zn 2.76
Zn 0.7645 0.7356 0.9992  1 Cu 2.56, 2 Au 2.68, 2 Ag 2.69, 2 Zn 2.76
Zn 0.2355 0.2644 0.0008  1 Cu 2.56, 2 Au 2.68, 2 Ag 2.69, 2 Zn 2.76
Zn 0.7608 0.2639 0.5124  2 Zn 2.61-2.88, 2 Cu 2.65, 1 Au 2.70, 3 Ag 2.72-2.73
Zn 0.7639 0.2608 0.0124  2 Zn 2.61-2.88, 2 Cu 2.65, 1 Au 2.70, 3 Ag 2.72-2.73
Zn 0.2392 0.7361 0.4876  2 Zn 2.61-2.88, 2 Cu 2.65, 1 Au 2.70, 3 Ag 2.72-2.73
Zn 0.2361 0.7392 0.9876  2 Zn 2.61-2.88, 2 Cu 2.65, 1 Au 2.70, 3 Ag 2.72-2.73
Cu 0.0000 0.5000 0.0000  6 Zn 2.56-2.65, 2 Ag 2.74
Cu 0.0000 0.5000 0.5000  6 Zn 2.56-2.65, 2 Ag 2.74
Ag 0.5000 0.0000 0.5000  6 Zn 2.72-2.87, 2 Cu 2.74
Ag 0.5000 0.0000 0.0000  6 Zn 2.72-2.87, 2 Cu 2.74
Ag 0.5000 0.5000 0.0000  6 Zn 2.69-2.73, 2 Ag 2.74
Ag 0.0000 0.0000 0.5000  6 Zn 2.69-2.73, 2 Ag 2.74

## Properties
SG: Imma, No. 74
ΔE_f: 0.067 eV per atom
Energy: -35.270 eV per cell

***

2.
The following is a PBE calculation of an optimized crystal structure of KIn2IF2, from Alexandria.

a b c (Å): 7.3624 7.7486 8.2549
angles (deg): 125.59 90.00 90.00
Closest atoms and distances in Å follow each position.
Atoms (fractional coordinates):
In 0.5092 0.7135 0.7803  2 F 2.32-2.35
In 0.9908 0.7135 0.7803  2 F 2.32-2.35
In 0.0092 0.2865 0.2197  2 F 2.32-2.35
In 0.4908 0.2865 0.2197  2 F 2.32-2.35
F 0.7500 0.4688 0.6312  2 In 2.35, 1 K 2.60
F 0.2500 0.0969 0.2250  2 In 2.32, 1 K 2.57
F 0.7500 0.9031 0.7750  2 In 2.32, 1 K 2.57
F 0.2500 0.5312 0.3688  2 In 2.35, 1 K 2.60
K 0.2500 0.8016 0.2789  2 F 2.57-2.60
K 0.7500 0.1984 0.7211  2 F 2.57-2.60
I 0.2500 0.2327 0.8156  2 In 3.58, 4 K 3.68-3.80, 1 F 3.73
I 0.7500 0.7673 0.1844  2 In 3.58, 4 K 3.68-3.80, 1 F 3.73

## Properties
Formation energy from raw total energies: -1.59 eV per atom
SG: P2_1/m, No. 11
Energy: -42.822 eV per cell

***

3.
The following is a PBE calculation of an optimized crystal structure of Pr2LuHf, from Alexandria.

a b c (Å): 4.8319 4.9789 4.9789
angles (deg): 90.00 90.00 90.00
Closest atoms and distances in Å follow each position.
Atoms (fractional coordinates):
Pr 0.0000 0.0000 0.5000  4 Hf 3.47, 4 Lu 3.47, 4 Pr 3.52
Pr 0.0000 0.5000 0.0000  4 Hf 3.47, 4 Lu 3.47, 4 Pr 3.52
Lu 0.5000 0.5000 0.5000  8 Pr 3.47, 4 Hf 3.52
Hf 0.5000 0.0000 0.0000  8 Pr 3.47, 4 Lu 3.52

## Properties
Offset from the most stable computed form: 0 meV per atom
SG: P4/mmm, No. 123
ΔE_f: 0.181 eV per atom
Energy: -23.310 eV per cell

***

4.
The following is a PBE calculation of an optimized crystal structure of Co2AgRh, from Alexandria.

a b c (Å): 6.0474 4.6009 2.6918
angles (deg): 89.99 63.58 121.81
Closest atoms and distances in Å follow each position.
Atoms (fractional coordinates):
Co 0.5000 0.0000 0.5000  4 Ag 2.67, 4 Rh 2.67, 4 Co 2.69-2.71
Co 0.0000 0.0000 0.0000  4 Rh 2.67, 4 Ag 2.67, 4 Co 2.69-2.71
Ag 0.5000 0.5000 0.0000  8 Co 2.67, 2 Ag 2.69, 2 Rh 2.71
Rh 0.0000 0.5000 0.5000  8 Co 2.67, 2 Rh 2.69, 2 Ag 2.71

## Properties
SG: Cmmm, No. 65
ΔE_f: 0.304 eV per atom
Energy: -23.199 eV per cell

***

5.
The following is a PBE calculation of an optimized crystal structure of AgMo2AsRh, from Alexandria.

a b c (Å): 4.7110 4.9871 4.7110
angles (deg): 90.00 90.00 90.00
Closest atoms and distances in Å follow each position.
Atoms (fractional coordinates):
As 0.5000 0.5000 0.5000  4 Ag 3.33, 8 Mo 3.43
Ag 0.0000 0.5000 0.0000  2 Rh 2.49
Mo 0.0000 0.0000 0.5000  2 Rh 2.36
Mo 0.5000 0.0000 0.0000  2 Rh 2.36
Rh 0.0000 0.0000 0.0000  4 Mo 2.36, 2 Ag 2.49

## Properties
SG: P4/mmm, No. 123
ΔE_f: 1.473 eV per atom
Energy: -29.149 eV per cell

***

6.
The following is a PBE calculation of an optimized crystal structure of La2Al3Au4, from Alexandria.

a b c (Å): 6.0787 7.8316 8.5643
angles (deg): 90.00 110.79 90.00
Closest atoms and distances in Å follow each position.
Atoms (fractional coordinates):
Au 0.6844 0.5254 0.3687  5 Al 2.72-2.96
Au 0.1844 0.9746 0.3687  5 Al 2.72-2.96
Au 0.8156 0.0254 0.6313  5 Al 2.72-2.96
Au 0.3071 0.2500 0.1142  3 Al 2.64-2.70
Au 0.1929 0.7500 0.8858  3 Al 2.64-2.70
Au 0.8071 0.2500 0.1142  3 Al 2.64-2.70
Au 0.6929 0.7500 0.8858  3 Al 2.64-2.70
Au 0.3156 0.4746 0.6313  5 Al 2.72-2.96
La 0.6098 0.9071 0.2195  8 Au 3.20-3.42, 2 Al 3.28
La 0.8902 0.4071 0.7805  8 Au 3.20-3.42, 2 Al 3.28
La 0.3902 0.0929 0.7805  8 Au 3.20-3.42, 2 Al 3.28
La 0.1098 0.5929 0.2195  8 Au 3.20-3.42, 2 Al 3.28
Al 0.4759 0.2500 0.4518  5 Au 2.70-2.73
Al 0.9759 0.2500 0.4518  5 Au 2.70-2.73
Al 0.0241 0.7500 0.5482  5 Au 2.70-2.73
Al 0.5000 0.5000 0.0000  4 Au 2.64
Al 0.0000 0.0000 0.0000  4 Au 2.64
Al 0.5241 0.7500 0.5482  5 Au 2.70-2.73

## Properties
SG: Cmce, No. 64
ΔE_f: -0.685 eV per atom
Energy: -80.713 eV per cell

***

7.
The following is a PBE calculation of an optimized crystal structure of Co2SiH2, from Alexandria.

a b c (Å): 2.7633 2.7633 5.2454
angles (deg): 74.73 74.73 90.00
Closest atoms and distances in Å follow each position.
Atoms (fractional coordinates):
H 0.2500 0.7500 0.5000  4 Co 1.76, 4 H 1.95
H 0.7500 0.2500 0.5000  4 Co 1.76, 4 H 1.95
Co 0.3621 0.3621 0.2757  4 H 1.76
Co 0.6379 0.6379 0.7243  4 H 1.76
Si 0.0000 0.0000 0.0000  8 Co 2.37

## Properties
Offset from the most stable computed form: 5 meV per atom
SG: I4/mmm, No. 139
Energy: -27.215 eV per cell

***

8.
The following is a PBE calculation of an optimized crystal structure of PmNi2Ge, from Alexandria.

a b c (Å): 4.1209 4.1209 9.5076
angles (deg): 90.00 90.00 120.00
Closest atoms and distances in Å follow each position.
Atoms (fractional coordinates):
Pm 0.3333 0.6667 0.2500  8 Ni 2.87-3.03
Pm 0.6667 0.3333 0.7500  8 Ni 2.87-3.03
Ge 0.0000 0.0000 0.0000  6 Ni 2.43
Ge 0.0000 0.0000 0.5000  6 Ni 2.43
Ni 0.3333 0.6667 0.5518  3 Ge 2.43, 3 Ni 2.58
Ni 0.6667 0.3333 0.0518  3 Ge 2.43, 3 Ni 2.58
Ni 0.3333 0.6667 0.9482  3 Ge 2.43, 3 Ni 2.58
Ni 0.6667 0.3333 0.4482  3 Ge 2.43, 3 Ni 2.58

## Properties
SG: P6_3/mmc, No. 194
ΔE_f: -0.554 eV per atom
Energy: -46.296 eV per cell

***

9.
The following is a PBE calculation of an optimized crystal structure of MnAuCl2, from Alexandria.

a b c (Å): 4.7909 4.7909 4.7909
angles (deg): 60.00 60.00 60.00
Closest atoms and distances in Å follow each position.
Atoms (fractional coordinates):
Cl 0.2500 0.2500 0.2500  4 Au 2.93, 4 Mn 2.93
Cl 0.7500 0.7500 0.7500  4 Au 2.93, 4 Mn 2.93
Au 0.5000 0.5000 0.5000  8 Cl 2.93
Mn 0.0000 0.0000 0.0000  8 Cl 2.93

## Properties
Formation energy from raw total energies: 0.10 eV per atom
Offset from the most stable computed form: 532 meV per atom
SG: Fm-3m, No. 225
Energy: -15.751 eV per cell

***

10.
The following is a PBE calculation of an optimized crystal structure of YTmMgIr, from Alexandria.

a b c (Å): 4.9976 4.9976 4.9976
angles (deg): 60.00 60.00 60.00
Closest atoms and distances in Å follow each position.
Atoms (fractional coordinates):
Tm 0.2500 0.2500 0.2500  4 Mg 3.06, 4 Ir 3.06
Ir 0.5000 0.5000 0.5000  4 Tm 3.06, 4 Y 3.06
Y 0.7500 0.7500 0.7500  4 Mg 3.06, 4 Ir 3.06
Mg 0.0000 0.0000 0.0000  4 Tm 3.06, 4 Y 3.06

## Properties
SG: F-43m, No. 216
ΔE_f: -0.479 eV per atom
Energy: -23.305 eV per cell

***

11.
The following is a PBE calculation of an optimized crystal structure of SmHoRu, from Alexandria.

a b c (Å): 7.0427 6.8379 6.7691
angles (deg): 90.00 90.00 103.94
Closest atoms and distances in Å follow each position.
Atoms (fractional coordinates):
Sm 0.7494 0.5635 0.5004  4 Ru 2.94-2.96
Sm 0.2506 0.9365 0.0004  4 Ru 2.94-2.96
Sm 0.7494 0.0635 0.9996  4 Ru 2.94-2.96
Sm 0.2506 0.4365 0.4996  4 Ru 2.94-2.96
Ho 0.7394 0.0587 0.4996  4 Ru 2.91
Ho 0.2606 0.4413 0.9996  4 Ru 2.91
Ho 0.7394 0.5587 0.0004  4 Ru 2.91
Ho 0.2606 0.9413 0.5004  4 Ru 2.91
Ru 0.5000 0.2500 0.7500  4 Ho 2.91, 4 Sm 2.94-2.96
Ru 0.5000 0.7500 0.7500  4 Ho 2.91, 4 Sm 2.94-2.96
Ru 0.5000 0.2500 0.2500  4 Ho 2.91, 4 Sm 2.94-2.96
Ru 0.5000 0.7500 0.2500  4 Ho 2.91, 4 Sm 2.94-2.96

## Properties
Offset from the most stable computed form: 57 meV per atom
SG: P2_1/c, No. 14
ΔE_f: -0.240 eV per atom
Energy: -77.168 eV per cell

***

12.
The following is a PBE calculation of an optimized crystal structure of BaInS2, from Alexandria.

a b c (Å): 4.2615 4.2615 7.5699
angles (deg): 73.65 73.65 60.00
Closest atoms and distances in Å follow each position.
Atoms (fractional coordinates):
S 0.0726 0.0726 0.7823  3 In 2.89, 3 Ba 3.18
S 0.2593 0.2593 0.2222  3 In 2.95, 3 Ba 3.17
In 0.6684 0.6684 0.9949  6 S 2.89-2.95
Ba 0.4998 0.4998 0.5006  6 S 3.17-3.18

## Properties
Formation energy from raw total energies: -1.05 eV per atom
SG: R3m, No. 160
Energy: -17.098 eV per cell